# 1
Material: SrCd2As2
Method: DFT, GGA-PBE
State: optimized geometry

The value obtained for the relative energy among the computed polymorphs is 125.5 meV per atom.

It has space group I4/mmm (No. 139), with a = 4.3104 Å, b = 4.3104 Å, c = 13.5379 Å, α = 90.00°, β = 90.00° and γ = 90.00°. Symmetry generates all atoms from Sr at (0.0000, 0.0000, 0.0000), Cd at (0.0000, 0.5000, 0.2500) and As at (0.0000, 0.0000, 0.3854).

***

# 2
Material: SrCd2As2
Method: DFT, GGA-PBE
State: optimized geometry

The value obtained for the relative energy among the computed polymorphs is 0.0 meV per atom.

It has space group P-3m1 (No. 164), with a = 4.4893 Å, b = 4.4893 Å, c = 7.4648 Å, α = 90.00°, β = 90.00° and γ = 120.00°. Symmetry generates all atoms from Sr at (0.0000, 0.0000, 0.0000), Cd at (0.3333, 0.6667, 0.6317) and As at (0.3333, 0.6667, 0.2499).

***

# 3
Material: SrTmCdAs2
Method: DFT, GGA-PBE
State: optimized geometry

The value obtained for the total energy is -83.1 eV for the cell shown.

It has space group Cmc2_1 (No. 36), with a = 4.2555 Å, b = 17.5737 Å, c = 6.9719 Å, α = 90.00°, β = 90.00° and γ = 90.00°. Symmetry generates all atoms from Sr at (0.0000, 0.1944, 0.0000), Tm at (0.0000, 0.0267, 0.6761), Cd at (0.0000, 0.3893, 0.8538), As at (0.0000, 0.1767, 0.5302) and As at (0.0000, 0.4517, 0.4649).

***

# 4
Material: TaCd2As
Method: DFT, GGA-PBE
State: optimized geometry

The value obtained for the total energy is -65.3 eV for the cell shown.

It has space group F-43m (No. 216), with a = 6.7632 Å, b = 6.7632 Å, c = 6.7632 Å, α = 90.00°, β = 90.00° and γ = 90.00°. Symmetry generates all atoms from Ta at (0.0000, 0.0000, 0.0000), Cd at (0.0000, 0.0000, 0.5000), Cd at (0.2500, 0.2500, 0.2500) and As at (0.2500, 0.2500, 0.7500).

***

# 5
Material: TaCdAs2
Method: DFT, GGA-PBE
State: optimized geometry

The value obtained for the total energy is -78.5 eV for the cell shown.

It has space group F-43m (No. 216), with a = 6.7295 Å, b = 6.7295 Å, c = 6.7295 Å, α = 90.00°, β = 90.00° and γ = 90.00°. Symmetry generates all atoms from Ta at (0.0000, 0.0000, 0.0000), Cd at (0.2500, 0.2500, 0.2500), As at (0.0000, 0.0000, 0.5000) and As at (0.2500, 0.2500, 0.7500).

***

# 6
Material: CdTc2As
Method: DFT, GGA-PBE
State: optimized geometry

The value obtained for the total energy is -97.0 eV for the cell shown.

It has space group F-43m (No. 216), with a = 6.4098 Å, b = 6.4098 Å, c = 6.4098 Å, α = 90.00°, β = 90.00° and γ = 90.00°. Symmetry generates all atoms from Cd at (0.0000, 0.0000, 0.0000), Tc at (0.0000, 0.0000, 0.5000), Tc at (0.2500, 0.2500, 0.2500) and As at (0.2500, 0.2500, 0.7500).

***

# 7
Material: Cd2TcAs
Method: DFT, GGA-PBE
State: optimized geometry

The value obtained for the total energy is -58.8 eV for the cell shown.

It has space group F-43m (No. 216), with a = 6.6196 Å, b = 6.6196 Å, c = 6.6196 Å, α = 90.00°, β = 90.00° and γ = 90.00°. Symmetry generates all atoms from Cd at (0.0000, 0.0000, 0.0000), Cd at (0.2500, 0.2500, 0.2500), Tc at (0.2500, 0.2500, 0.7500) and As at (0.0000, 0.0000, 0.5000).

***

# 8
Material: CdTeAs
Method: DFT, GGA-PBE
State: optimized geometry

The value obtained for the total energy is -30.2 eV for the cell shown.

It has space group F-43m (No. 216), with a = 7.0137 Å, b = 7.0137 Å, c = 7.0137 Å, α = 90.00°, β = 90.00° and γ = 90.00°. Symmetry generates all atoms from Cd at (0.0000, 0.0000, 0.0000), Te at (0.2500, 0.2500, 0.7500) and As at (0.0000, 0.0000, 0.5000).